No. 1
Entry from OQMD: a geometry-optimized NdPH5CO7 structure (PBE).

Properties
E_tot, eV per atom: -6.396

The structure in CIF format:
```
data_NdPH5CO7
_space_group_name_H-M_alt 'P -1'
_space_group_IT_number 2
_space_group_name_Hall '-P 1'
_cell_length_a 6.527
_cell_length_b 6.940
_cell_length_c 7.425
_cell_angle_alpha 109.91
_cell_angle_beta 93.47
_cell_angle_gamma 91.36
loop_
_atom_site_label
_atom_site_fract_x
_atom_site_fract_y
_atom_site_fract_z
_atom_site_occupancy
Nd1 0.131 0.229 0.443 1
P1 0.337 0.755 0.489 1
H1 0.172 0.532 0.842 1
H2 0.294 0.340 0.877 1
H3 0.413 0.734 0.312 1
H4 0.461 0.860 0.081 1
H5 0.463 0.237 0.125 1
C1 0.061 0.907 0.003 1
O1 0.051 0.752 0.851 1
O2 0.163 0.922 0.158 1
O3 0.181 0.575 0.456 1
O4 0.210 0.950 0.554 1
O5 0.220 0.391 0.781 1
O6 0.422 0.207 0.987 1
O7 0.480 0.237 0.370 1
```

No. 2
Entry from OQMD: a geometry-optimized H4Os3C10O9 structure (PBE).

Properties
E_tot, eV per atom: -7.578

The structure in CIF format:
```
data_H4Os3C10O9
_space_group_name_H-M_alt 'P -1'
_space_group_IT_number 2
_space_group_name_Hall '-P 1'
_cell_length_a 9.082
_cell_length_b 11.191
_cell_length_c 15.074
_cell_angle_alpha 69.05
_cell_angle_beta 84.47
_cell_angle_gamma 82.88
loop_
_atom_site_label
_atom_site_fract_x
_atom_site_fract_y
_atom_site_fract_z
_atom_site_occupancy
H1 0.021 0.152 0.198 1
H2 0.078 0.909 0.007 1
H3 0.172 0.998 0.755 1
H4 0.238 0.770 0.834 1
H5 0.343 0.378 0.284 1
H6 0.394 0.682 0.680 1
H7 0.413 0.202 0.431 1
H8 0.428 0.512 0.457 1
Os1 0.016 0.997 0.186 1
Os2 0.066 0.732 0.909 1
Os3 0.269 0.337 0.408 1
Os4 0.293 0.911 0.852 1
Os5 0.421 0.732 0.550 1
Os6 0.496 0.476 0.277 1
C1 0.001 0.166 0.824 1
C2 0.059 0.621 0.835 1
C3 0.075 0.930 0.316 1
C4 0.094 0.896 0.939 1
C5 0.118 0.307 0.020 1
C6 0.132 0.487 0.379 1
C7 0.149 0.230 0.375 1
C8 0.163 0.612 0.015 1
C9 0.205 0.275 0.538 1
C10 0.211 0.004 0.129 1
C11 0.244 0.664 0.541 1
C12 0.320 0.893 0.555 1
C13 0.340 0.433 0.725 1
C14 0.344 0.065 0.862 1
C15 0.376 0.633 0.229 1
C16 0.408 0.810 0.957 1
C17 0.438 0.442 0.421 1
C18 0.450 0.908 0.756 1
C19 0.455 0.785 0.416 1
C20 0.464 0.548 0.845 1
O1 0.012 0.261 0.836 1
O2 0.053 0.559 0.788 1
O3 0.057 0.583 0.360 1
O4 0.069 0.168 0.358 1
O5 0.110 0.890 0.394 1
O6 0.138 0.620 0.535 1
O7 0.174 0.231 0.619 1
O8 0.220 0.540 0.082 1
O9 0.227 0.333 0.975 1
O10 0.242 0.380 0.719 1
O11 0.256 0.987 0.559 1
O12 0.302 0.730 0.203 1
O13 0.329 0.013 0.092 1
O14 0.372 0.160 0.869 1
O15 0.441 0.564 0.916 1
O16 0.450 0.095 0.297 1
O17 0.472 0.745 0.022 1
O18 0.475 0.812 0.334 1
```